Compound: Sc2HgPb
Source: the Alexandria database
Functional: GGA-PBE
Structure: relaxed

Unit cell a=4.306 b=4.306 c=7.086 alpha=72.31 beta=72.31 gamma=60.00
Positions (direct):
Sc 0.079 0.079 0.764
Sc 0.256 0.256 0.233
Hg 0.499 0.499 0.502
Pb 0.666 0.666 0.001

Values from the calculation:
Energy of formation from the pure elements: -0.176 eV per atom